No. 1
Crystalline Ce2Cl4F3 at its relaxed geometry. Source: the Alexandria database, functional PBE.

Properties
raw formation energy: -2407 kJ/mol of formula units

Lattice parameters (Å, degrees): 15.352 3.865 6.994 90.00 106.81 90.00
Space group C2/m (No. 12)
Asymmetric unit:
Ce  0.104  0.000  0.430 x4
Cl  0.069  0.000  0.810 x4
Cl  0.227  0.500  0.685 x4
F  0.000  0.500  0.500 x2
F  0.108  0.500  0.262 x4

***

No. 2
Crystalline La3Tb6Pr2Er at its relaxed geometry. Source: the Alexandria database, functional PBE.

Properties
calculated formation energy: 0.00 eV/atom

Lattice parameters (Å, degrees): 6.321 10.934 11.659 90.00 90.00 90.00
Space group C2/m (No. 12)
Asymmetric unit:
La  0.000  0.000  0.000 x2
La  0.000  0.333  0.000 x4
Tb  0.168  0.166  0.251 x8
Tb  0.170  0.500  0.252 x4
Pr  0.000  0.333  0.500 x4
Er  0.000  0.000  0.500 x2

***

no.,magnetization (μB/atom),DOS at the Fermi energy (states/eV per atom)
1,0.1151,0.953
2,0.0001,1.293